# 1
Material: TmBeNb
Method: DFT, GGA-PBE
State: optimized geometry

Symmetry: P4/nmm, No. 129
N(E_F), states/eV/f.u.: 3.00
Calculated volume, Å³/cell: 116.3
ΔH_f (0 K), kJ per mole of atoms: 5.17

Unit cell a=4.0097 b=4.0097 c=7.2329 alpha=90.00 beta=90.00 gamma=90.00
Last column: nearest neighbours and their distance in Å.
Atoms (fractional coordinates):
Tm1 0.2500 0.2500 0.1543  5 Be 2.95-3.04, 4 Nb 3.20
Tm2 0.7500 0.7500 0.8457  5 Be 2.95-3.04, 4 Nb 3.20
Be1 0.2500 0.2500 0.7339  4 Nb 2.62
Be2 0.7500 0.7500 0.2661  4 Nb 2.62
Nb1 0.2500 0.7500 0.5000  4 Be 2.62, 4 Nb 2.84
Nb2 0.7500 0.2500 0.5000  4 Be 2.62, 4 Nb 2.84

# 2
Material: BaCdRh
Method: DFT, GGA-PBE
State: optimized geometry

Symmetry: P-6m2, No. 187
N(E_F), states/eV/f.u.: 1.77
Calculated volume, Å³/cell: 87.6
ΔH_f (0 K), kJ per mole of atoms: -17.18

Unit cell a=4.6803 b=4.6803 c=4.6185 alpha=90.00 beta=90.00 gamma=120.00
Last column: nearest neighbours and their distance in Å.
Atoms (fractional coordinates):
Ba1 0.0000 0.0000 0.0000  6 Cd 3.55, 6 Rh 3.55
Cd1 0.6667 0.3333 0.5000  3 Rh 2.70
Rh1 0.3333 0.6667 0.5000  3 Cd 2.70